Ho5PuAs6 | Alexandria via LeMat-Bulk | PBE | optimized geometry; M_tot = 4.8 μB/f.u.; energy relative to the elements = -1.434 eV/atom; space-group type = C2/m, No. 12
1.0
6.9842 -0.1083 -1.3171
-3.7732 5.8783 -1.3171
0.1368 0.2458 7.1043
Ho As Pu
5 6 1
direct
0.6666 0.3334 0.0000 Ho
0.1668 0.8332 0.5000 Ho
0.3334 0.6666 0.0000 Ho
0.5000 0.5000 0.5000 Ho
0.8332 0.1668 0.5000 Ho
0.0835 0.4161 0.2504 As
0.4161 0.0835 0.2504 As
0.7503 0.7503 0.2494 As
0.9165 0.5839 0.7496 As
0.2497 0.2497 0.7506 As
0.5839 0.9165 0.7496 As
0.0000 0.0000 0.0000 Pu